1.
{"formula": "GdDy2Tl", "functional": "PBE", "state": "optimized geometry", "cell": [[-1.667, 1.346, 2.922], [2.714, -1.179, 2.091], [4.347, 7.929, -1.173]], "species": ["Dy", "Tl", "Gd", "Dy"], "fractional_positions": [[0.000, 0.000, 0.227], [0.500, 0.500, 0.000], [0.500, 0.500, 0.500], [0.000, 0.000, 0.773]], "crystal_system": "tetragonal", "spacegroup": "P4/mmm, No. 123", "polymorph_energy_ev_per_fu": 0.160, "e_tot_ev_per_cell": -26.3, "formation_enthalpy_0k_mev_per_atom": -159.2}

---

2.
{"formula": "TeMoCl2", "functional": "PBE", "state": "optimized geometry", "cell": [[-1.017, 4.749, -0.348], [-0.506, -0.464, -4.821], [-2.588, -2.829, 3.002]], "species": ["Cl", "Cl", "Mo", "Te"], "fractional_positions": [[0.000, 0.000, 0.000], [0.250, 0.750, 0.500], [0.500, 0.500, 0.000], [0.750, 0.250, 0.500]], "crystal_system": "cubic", "spacegroup": "F-43m, No. 216", "polymorph_energy_ev_per_fu": 2.924, "e_tot_ev_per_cell": -16.5, "e_form_raw_ev_per_atom": 0.304}

---

3.
{"formula": "CrSnAs2Se", "functional": "PBE", "state": "optimized geometry", "cell": [[4.587, 0.000, 0.000], [0.000, 4.587, 0.000], [0.000, 0.000, 5.490]], "species": ["As", "As", "Cr", "Sn", "Se"], "fractional_positions": [[0.500, 0.000, 0.000], [0.000, 0.500, 0.000], [0.000, 0.000, 0.000], [0.500, 0.500, 0.500], [0.000, 0.000, 0.500]], "crystal_system": "tetragonal", "spacegroup": "P4/mmm, No. 123", "polymorph_energy_ev_per_fu": 0.000, "e_tot_ev_per_cell": -25.4, "e_form_raw_ev_per_atom": 0.207}

---

4.
{"formula": "TcMo2Ir", "functional": "PBE", "state": "optimized geometry", "cell": [[-2.182, -0.936, -2.233], [2.408, -1.159, -1.867], [-0.462, -5.197, 2.631]], "species": ["Tc", "Mo", "Mo", "Ir"], "fractional_positions": [[0.000, 0.000, 0.482], [0.000, 0.000, 0.983], [0.500, 0.500, 0.264], [0.500, 0.500, 0.771]], "crystal_system": "tetragonal", "spacegroup": "P4mm, No. 99", "polymorph_energy_ev_per_fu": 0.836, "e_tot_ev_per_cell": -40.4, "formation_enthalpy_0k_mev_per_atom": 123.1}

---

5.
{"formula": "Ti6RhC4", "functional": "PBE", "state": "optimized geometry", "cell": [[-1.009, -2.395, 1.656], [-1.561, -0.887, -5.102], [14.143, -7.993, -2.939]], "species": ["Rh", "Ti", "Ti", "Ti", "Ti", "C", "Ti", "C", "Rh", "Ti", "C", "Ti", "Ti", "C", "Ti", "C", "C", "Ti", "C", "Ti", "C", "Ti"], "fractional_positions": [[0.339, 0.678, 0.750], [0.960, 0.921, 0.648], [0.225, 0.449, 0.577], [0.960, 0.921, 0.852], [0.040, 0.079, 0.148], [0.408, 0.816, 0.378], [0.225, 0.449, 0.923], [0.138, 0.277, 0.461], [0.661, 0.322, 0.250], [0.349, 0.698, 0.250], [0.862, 0.723, 0.539], [0.775, 0.551, 0.423], [0.040, 0.079, 0.352], [0.408, 0.816, 0.122], [0.651, 0.302, 0.750], [0.592, 0.184, 0.622], [0.138, 0.277, 0.039], [0.775, 0.551, 0.077], [0.592, 0.184, 0.878], [0.500, 0.000, 0.000], [0.862, 0.723, 0.961], [0.500, 0.000, 0.500]], "crystal_system": "orthorhombic", "spacegroup": "Cmcm, No. 63", "e_tot_ev_per_cell": -200.1, "formation_enthalpy_0k_mev_per_atom": -768.1}

---

6.
{"formula": "Nd2Tl2In", "functional": "PBE", "state": "optimized geometry", "cell": [[-1.799, -3.964, 1.961], [2.126, -4.115, -6.367], [6.977, -1.526, 3.316]], "species": ["Tl", "Nd", "Tl", "Tl", "In", "In", "Nd", "Tl", "Nd", "Nd"], "fractional_positions": [[0.000, 0.635, 0.135], [0.500, 0.831, 0.331], [0.000, 0.365, 0.865], [0.000, 0.135, 0.365], [0.000, 0.000, 0.000], [0.000, 0.500, 0.500], [0.500, 0.331, 0.169], [0.000, 0.865, 0.635], [0.500, 0.169, 0.669], [0.500, 0.669, 0.831]], "crystal_system": "tetragonal", "spacegroup": "P4/mbm, No. 127", "e_tot_ev_per_cell": -37.6, "formation_enthalpy_0k_mev_per_atom": -359.6}

---

7.
{"formula": "AlPb3W", "functional": "PBE", "state": "optimized geometry", "cell": [[5.426, 0.000, 0.000], [0.000, 5.426, 0.000], [0.000, 0.000, 5.426]], "species": ["Pb", "Al", "W", "Pb", "Pb"], "fractional_positions": [[0.000, 0.500, 0.000], [0.500, 0.500, 0.500], [0.000, 0.000, 0.000], [0.000, 0.000, 0.500], [0.500, 0.000, 0.000]], "crystal_system": "cubic", "spacegroup": "Pm-3m, No. 221", "polymorph_energy_ev_per_fu": 0.000, "e_tot_ev_per_cell": -23.7, "formation_enthalpy_0k_mev_per_atom": 827.3}

---

8.
{"formula": "MgMoPd", "functional": "PBE", "state": "optimized geometry", "cell": [[8.110, 0.038, -0.026], [1.225, 2.925, -0.004], [1.129, -0.471, 4.069]], "species": ["Pd", "Mg", "Mo", "Mg", "Pd", "Mo"], "fractional_positions": [[0.955, 0.285, 0.606], [0.973, 0.767, 0.097], [0.629, 0.111, 0.768], [0.284, 0.455, 0.441], [0.302, 0.938, 0.932], [0.629, 0.611, 0.269]], "crystal_system": "orthorhombic", "spacegroup": "Cmmm, No. 65", "polymorph_energy_ev_per_fu": 0.094, "e_tot_ev_per_cell": -36.3, "formation_enthalpy_0k_mev_per_atom": -176.4}

---

9.
{"formula": "Pu2AsPt", "functional": "PBE", "state": "optimized geometry", "cell": [[-2.731, -1.108, 2.779], [-0.047, -3.990, -1.637], [7.504, -0.674, 7.108]], "species": ["Pt", "Pt", "Pu", "Pu", "Pu", "Pu", "As", "As"], "fractional_positions": [[0.750, 0.447, 0.894], [0.250, 0.553, 0.106], [0.250, 0.320, 0.640], [0.750, 0.062, 0.124], [0.750, 0.680, 0.360], [0.250, 0.938, 0.876], [0.250, 0.177, 0.354], [0.750, 0.823, 0.646]], "crystal_system": "orthorhombic", "spacegroup": "Cmcm, No. 63", "polymorph_energy_ev_per_fu": 0.000, "e_tot_ev_per_cell": -85.3, "formation_enthalpy_0k_mev_per_atom": -822.0}

---

10.
{"formula": "Be4AlV", "functional": "PBE", "state": "optimized geometry", "cell": [[4.410, 0.000, 0.000], [2.205, 3.819, 0.000], [2.205, 1.273, 3.600]], "species": ["Be", "Al", "Be", "V", "Be", "Be"], "fractional_positions": [[0.133, 0.622, 0.622], [0.000, 0.000, 0.000], [0.622, 0.622, 0.622], [0.250, 0.250, 0.250], [0.622, 0.133, 0.622], [0.622, 0.622, 0.133]], "crystal_system": "cubic", "spacegroup": "F-43m, No. 216", "e_tot_ev_per_cell": -28.2, "formation_enthalpy_0k_mev_per_atom": -73.1}

---

11.
{"formula": "ScZnBr3", "functional": "PBE", "state": "optimized geometry", "cell": [[-4.711, -0.588, -2.035], [1.323, -4.692, -1.707], [-1.654, -2.078, 4.430]], "species": ["Zn", "Br", "Sc", "Br", "Br"], "fractional_positions": [[0.000, 0.000, 0.000], [0.000, 0.500, 0.000], [0.500, 0.500, 0.500], [0.000, 0.000, 0.500], [0.500, 0.000, 0.000]], "crystal_system": "cubic", "spacegroup": "Pm-3m, No. 221", "polymorph_energy_ev_per_fu": 3.343, "e_tot_ev_per_cell": -14.3, "e_form_raw_ev_per_atom": -0.335}

---

12.
{"formula": "YMn2Cr", "functional": "PBE", "state": "optimized geometry", "cell": [[4.429, 0.000, 0.000], [0.000, 4.429, 0.000], [2.215, 2.215, 7.559]], "species": ["Mn", "Mn", "Y", "Y", "Mn", "Cr", "Cr", "Mn"], "fractional_positions": [[0.375, 0.625, 0.250], [0.375, 0.625, 0.750], [0.750, 0.250, 0.500], [0.000, 0.000, 0.000], [0.375, 0.125, 0.250], [0.250, 0.750, 0.500], [0.500, 0.500, 0.000], [0.875, 0.625, 0.750]], "crystal_system": "tetragonal", "spacegroup": "I4_1/amd, No. 141", "polymorph_energy_ev_per_fu": 1.969, "e_tot_ev_per_cell": -63.3, "formation_enthalpy_0k_mev_per_atom": 690.9}